Record 1
Entry from Alexandria via LeMat-Bulk: a geometry-optimized CdAgI4 structure (GGA-PBE). Values from VASP.

Cell and atoms, written as Quantum ESPRESSO input:
```
&SYSTEM
  ibrav = 0, nat = 12, ntyp = 3
/
ATOMIC_SPECIES
Cd 112.41 Cd.upf
I 126.90 I.upf
Ag 107.87 Ag.upf
ATOMIC_POSITIONS angstrom
Cd 0.0000 0.0000 0.0000
Cd -3.6530 -0.8853 8.0466
I -5.1921 -2.9218 6.6008
I -2.2934 -5.3911 4.4803
I -4.3239 -2.2598 1.9365
I -3.3223 0.8210 5.2896
I -5.0127 3.6204 11.6128
I -3.9838 -2.5917 10.8036
I -2.1140 1.1511 9.4923
I -2.9822 0.4892 14.1567
Ag -1.7368 2.8280 6.5303
Ag -1.9162 -3.7133 1.5162
CELL_PARAMETERS angstrom
-3.9928 -0.5542 -0.8219
0.1604 -6.8725 3.8544
-3.4736 5.6560 13.0607
```

## Properties
Size of the total moment = 0.0 μB per formula unit
DFT total energy = -1.964 eV per atom
Density of states at the Fermi level = 0.938 states/eV/atom
Energy above the lowest structure with this stoichiometry = 0.000 eV per atom
Energy relative to the elements, uncorrected = -1.8 eV/f.u.

***

Record 2
Entry from Alexandria via LeMat-Bulk: a geometry-optimized Tl12Se5F3 structure (GGA-PBE). Values from VASP.

Cell and atoms, written as Quantum ESPRESSO input:
```
&SYSTEM
  ibrav = 0, nat = 80, ntyp = 3
/
ATOMIC_SPECIES
Se 78.96 Se.upf
Tl 204.38 Tl.upf
F 19.00 F.upf
ATOMIC_POSITIONS angstrom
Se 4.7026 -4.2359 9.9728
Se 4.1518 2.4930 5.8547
Se 4.8550 -5.4320 2.1570
Se 9.0498 -3.0759 3.1093
Se 7.1731 -7.0889 6.1489
Se 6.2043 4.5247 1.8907
Se 1.1305 12.0749 5.5605
Se -0.7462 8.0620 8.6001
Se 4.4370 -0.5473 2.0169
Se 8.7412 0.7496 0.0557
Se 0.2656 -3.6886 7.9560
Se 3.8666 5.5334 9.6926
Se 2.0993 0.4613 9.8188
Se 8.3466 4.8491 6.8070
Se 3.8862 6.1816 -2.1013
Se -4.5894 1.7434 5.7990
Se 3.6010 9.2220 1.7366
Se 0.0000 0.0000 0.0000
Se -0.0430 0.1370 4.9024
Se -0.7032 7.9250 3.6977
Tl -2.0575 5.5472 9.3743
Tl 8.2215 2.4911 2.5527
Tl 5.8658 0.3618 4.4200
Tl 9.0985 -7.8474 4.0607
Tl -4.9820 1.9617 8.8545
Tl 5.1660 -5.1534 5.2170
Tl 3.1197 -3.0039 2.9512
Tl -1.8578 1.0148 7.0422
Tl 10.0443 5.7468 -0.8362
Tl 2.5465 1.4492 0.9763
Tl 2.4378 4.6242 7.2894
Tl -2.9627 2.4903 11.3178
Tl 6.6362 7.1048 6.0136
Tl 6.3139 11.4313 -1.6447
Tl 7.4435 -2.2662 5.4346
Tl 5.1839 7.9899 8.7582
Tl 10.9565 -5.2288 3.7197
Tl 1.4769 2.5837 4.3138
Tl 11.2663 2.4958 0.3916
Tl 0.0821 2.4949 9.1567
Tl 9.0990 0.1380 7.7629
Tl -2.6529 10.2149 7.9897
Tl 6.8267 2.4024 7.3956
Tl 1.9897 -6.4453 13.3541
Tl 2.0650 6.9316 2.7553
Tl 3.0552 -4.9790 7.6540
Tl 5.2484 9.9650 4.0554
Tl 0.8601 7.2522 6.2748
Tl 4.3013 5.0143 4.0774
Tl -1.7407 -0.7608 12.5456
Tl 3.1096 -3.5859 12.3567
Tl -3.3030 4.4307 6.6125
Tl 10.1614 3.9713 4.6672
Tl 13.2856 3.0244 2.8549
Tl 5.1940 8.5720 -0.6473
Tl 5.7571 3.5369 10.7331
Tl 11.6066 0.5554 5.0969
Tl 10.3611 -0.5611 2.3351
Tl -0.7949 12.8334 7.6487
Tl 7.8540 6.8728 1.2519
Tl 4.4403 3.7207 -0.3195
Tl 3.1376 10.1394 6.4924
Tl 4.0023 -0.0283 7.6320
Tl 3.8633 1.2654 12.0289
Tl 0.4496 -1.8867 10.4575
Tl 6.2386 -1.9455 8.9541
Tl -0.7954 4.8481 3.9465
Tl 1.6674 -2.1187 5.6958
F 3.7338 7.3777 5.7146
F -4.8746 4.7838 9.6368
F 0.2226 -3.5516 12.8584
F -0.3946 4.0995 6.7513
F 4.5698 -2.3916 5.9948
F -2.2713 0.0865 9.7909
F 6.4699 0.8361 9.8466
F 10.5749 4.8996 1.9185
F 1.8337 4.1499 1.8628
F 8.6982 0.8866 4.9581
F 8.0810 8.5377 -1.1490
F 13.1782 0.2023 2.0726
CELL_PARAMETERS angstrom
-9.1788 3.4868 11.5980
9.7100 -10.8640 4.3140
7.7724 12.3633 -4.2025
```

## Properties
Size of the total moment = 0.0 μB per formula unit
DFT total energy = -3.175 eV per atom
Density of states at the Fermi level = 0.350 states/eV/atom
Energy relative to the elements, uncorrected = -12.1 eV/f.u.

***

Record 3
Entry from Alexandria via LeMat-Bulk: a geometry-optimized SrMg2Cd structure (GGA-PBE). Values from VASP.

Cell and atoms, written as Quantum ESPRESSO input:
```
&SYSTEM
  ibrav = 0, nat = 4, ntyp = 3
/
ATOMIC_SPECIES
Mg 24.30 Mg.upf
Cd 112.41 Cd.upf
Sr 87.62 Sr.upf
ATOMIC_POSITIONS angstrom
Mg -4.4684 -2.2644 1.2202
Mg -0.2847 -0.1443 0.0778
Cd -2.0371 -0.8915 2.4729
Sr -3.6805 1.2707 0.4671
CELL_PARAMETERS angstrom
-6.3966 -0.2465 -0.7078
-3.1097 -4.5710 3.3038
3.7887 5.1967 0.3440
```

## Properties
Energy of formation = -1.75 kcal/mol of atoms
Size of the total moment = 0.0 μB per formula unit
DFT total energy = -1.522 eV per atom
Density of states at the Fermi level = 0.417 states/eV/atom

***

Record 4
Entry from Alexandria via LeMat-Bulk: a geometry-optimized Co2SbSe structure (GGA-PBE). Values from VASP.

Cell and atoms, written as Quantum ESPRESSO input:
```
&SYSTEM
  ibrav = 0, nat = 4, ntyp = 3
/
ATOMIC_SPECIES
Sb 121.76 Sb.upf
Co 58.93 Co.upf
Se 78.96 Se.upf
ATOMIC_POSITIONS angstrom
Sb 5.0579 1.9723 0.0000
Co 3.3563 0.1854 1.1550
Co 0.7637 0.2978 0.0000
Se 1.8707 2.0962 1.1539
CELL_PARAMETERS angstrom
6.4083 0.0088 0.0011
4.7226 4.3317 -0.0011
-5.6478 -1.9590 2.3089
```

## Properties
Size of the total moment = 0.9 μB per formula unit
DFT total energy = -5.334 eV per atom
Density of states at the Fermi level = 0.956 states/eV/atom
Energy relative to the elements, uncorrected = 0.5 eV/f.u.

***

Record 5
Entry from Alexandria via LeMat-Bulk: a geometry-optimized PrZrAu2 structure (GGA-PBE). Values from VASP.

Cell and atoms, written as Quantum ESPRESSO input:
```
&SYSTEM
  ibrav = 0, nat = 4, ntyp = 3
/
ATOMIC_SPECIES
Au 196.97 Au.upf
Pr 140.91 Pr.upf
Zr 91.22 Zr.upf
ATOMIC_POSITIONS angstrom
Au 7.6262 4.4030 3.1134
Au 2.5421 1.4677 1.0378
Pr 0.0000 0.0000 0.0000
Zr 5.0841 2.9353 2.0756
CELL_PARAMETERS angstrom
5.0841 0.0000 0.0000
2.5421 4.4030 0.0000
2.5421 1.4677 4.1512
```

## Properties
Energy of formation = -11.11 kcal/mol of atoms
Size of the total moment = 0.6 μB per formula unit
DFT total energy = -5.452 eV per atom
Density of states at the Fermi level = 1.208 states/eV/atom
Energy above the lowest structure with this stoichiometry = 0.092 eV per atom

***

Record 6
Entry from Alexandria via LeMat-Bulk: a geometry-optimized ZrBeAl2 structure (GGA-PBE). Values from VASP.

Cell and atoms, written as Quantum ESPRESSO input:
```
&SYSTEM
  ibrav = 0, nat = 4, ntyp = 3
/
ATOMIC_SPECIES
Al 26.98 Al.upf
Zr 91.22 Zr.upf
Be 9.01 Be.upf
ATOMIC_POSITIONS angstrom
Al -0.1514 -0.2885 0.0229
Al -1.4293 -2.7233 0.2160
Zr -1.9696 -4.8876 -1.6496
Be -0.3889 -1.8758 -1.8885
CELL_PARAMETERS angstrom
-1.5347 0.6013 -2.5739
2.3374 -1.3411 -1.4420
-3.1614 -6.0236 0.4778
```

## Properties
Energy of formation = -3.08 kcal/mol of atoms
Size of the total moment = 0.0 μB per formula unit
DFT total energy = -5.074 eV per atom
Density of states at the Fermi level = 0.287 states/eV/atom